Record 1
KTeN2 (GGA-PBE, optimized geometry); SG = No. 122; calculated total energy = -4.62 eV/atom; formation energy (no corrections) = 2.419 eV per formula unit
1.0
-1.3371 0.4788 5.9846
-5.1007 -3.3244 -0.8736
-0.9857 -5.0566 3.3452
N Te K
4 2 2
Cartesian
-2.5817 -4.4869 4.5234 N
-6.9441 -6.6550 6.8830 N
-3.4516 -3.3357 0.3675 N
-1.8696 -1.3268 5.1383 N
-2.7709 -3.0003 5.9426 Te
0.0000 0.0000 0.0000 Te
-3.2189 -1.4228 2.5555 K
-4.6526 -4.9019 2.5135 K

***

Record 2
SrGaBrCl4 (GGA-PBE, optimized geometry); SG = No. 12; calculated total energy = -3.55 eV/atom; formation energy (no corrections) = -11.102 eV per formula unit
1.0
-0.6459 5.2933 5.1552
0.3518 -4.2040 6.1004
9.4108 1.2429 2.5538
Br Cl Ga Sr
2 8 2 2
Cartesian
1.8945 0.2591 0.6040 Br
7.2222 2.0730 13.2055 Br
8.3343 0.1604 9.9483 Cl
2.3942 0.9391 6.9085 Cl
1.1333 -1.1689 4.1936 Cl
4.2141 0.8211 3.8020 Cl
6.7225 1.3931 6.9009 Cl
4.9026 1.5111 10.0075 Cl
7.9834 3.5011 9.6158 Cl
0.7824 2.1718 3.8611 Cl
6.8222 1.6218 9.0943 Ga
2.2945 0.7103 4.7152 Ga
8.7235 1.3746 4.6027 Sr
0.3932 0.9576 9.2067 Sr